1.
Entry from Alexandria: a relaxed MgBeOs2 crystal (PBE).

Unit cell a=2.931 b=4.457 c=4.195 alpha=90.00 beta=90.00 gamma=90.00
Fractional positions:
1 Be 0.500 0.000 0.500
2 Mg 0.000 0.500 0.500
3 Os 0.000 0.000 0.000
4 Os 0.500 0.500 0.000

Computed properties:
D(E_F): 0.6691 states/eV/atom
polymorph energy (0 for the lowest one): 288 meV/atom
calculated formation energy: 270 meV/atom
total moment: 0.00 μB per cell
calculated density: 12.538 g cm⁻³
calculated total energy: -6.675 eV/atom

---

2.
Entry from Alexandria: a relaxed MgBeOs2 crystal (PBE).

Unit cell a=8.333 b=8.333 c=8.333 alpha=19.09 beta=19.09 gamma=19.09
Fractional positions:
1 Be 0.250 0.250 0.250
2 Mg 0.750 0.750 0.750
3 Os 0.991 0.991 0.991
4 Os 0.509 0.509 0.509

Computed properties:
D(E_F): 0.5728 states/eV/atom
polymorph energy (0 for the lowest one): 165 meV/atom
calculated formation energy: 146 meV/atom
total moment: 0.00 μB per cell
calculated density: 12.705 g cm⁻³
calculated total energy: -6.799 eV/atom

---

3.
Entry from Alexandria: a relaxed MgBeOs2 crystal (PBE).

Unit cell a=4.731 b=4.731 c=2.723 alpha=90.00 beta=90.00 gamma=114.14
Fractional positions:
1 Be 0.500 0.000 0.500
2 Mg 0.000 0.500 0.500
3 Os 0.000 0.000 0.000
4 Os 0.500 0.500 0.000

Computed properties:
D(E_F): 0.9969 states/eV/atom
polymorph energy (0 for the lowest one): 452 meV/atom
calculated formation energy: 434 meV/atom
total moment: 0.00 μB per cell
calculated density: 12.354 g cm⁻³
calculated total energy: -6.511 eV/atom